Material: KRb2CrI6
Method: DFT, PBE
State: relaxed

Lattice parameters (Å, degrees): 8.8341 8.8316 8.3845 58.17 58.19 59.98
With the nearest neighbours (Å) after each atom.
Fractional positions:
I1 0.0139 0.5183 0.2897  1 Cr 2.77
Rb1 0.5539 0.5537 0.3388  6 I 3.73-3.89
I2 0.4543 0.6183 0.8125  1 Cr 2.77
Rb2 0.0785 0.0786 0.7642  6 I 3.73-3.89
I3 0.5177 0.1783 0.2902  1 Cr 2.77
I4 0.1146 0.4540 0.8129  1 Cr 2.77
I5 0.1780 0.0139 0.2907  1 Cr 2.77
K1 0.8162 0.8162 0.5514  6 I 3.50
I6 0.6184 0.1141 0.8133  1 Cr 2.77
Cr1 0.3161 0.3162 0.0515  6 I 2.77

Summary:
Size of the total moment (Bohr magnetons per cell): 2.9
Energy relative to the elements, uncorrected (meV/atom): -1016